No. 1
Material: DyErSnIr
Method: DFT, PBE
State: optimized geometry

Cell: 7.1623 7.1623 7.1623 Å, 90.00 90.00 90.00°
Space group F-43m (No. 216)
Asymmetric unit:
Dy 0.0000 0.0000 0.0000
Er 0.0000 0.0000 0.5000
Sn 0.2500 0.2500 0.7500
Ir 0.2500 0.2500 0.2500

Theoretical density = 11.6 g/cm³
Crystal system = cubic
DFT formation energy = -617.2 meV/atom
Fermi-level density of states = 12.0 states/eV/cell
DFT total energy = -6.12 eV/atom


No. 2
Material: DyErTlIr
Method: DFT, PBE
State: optimized geometry

Cell: 7.1779 7.1779 7.1779 Å, 90.00 90.00 90.00°
Space group F-43m (No. 216)
Asymmetric unit:
Dy 0.0000 0.0000 0.0000
Er 0.0000 0.0000 0.5000
Tl 0.2500 0.2500 0.7500
Ir 0.2500 0.2500 0.2500

Theoretical density = 13.0 g/cm³
Crystal system = cubic
DFT formation energy = -499.2 meV/atom
Fermi-level density of states = 6.4 states/eV/cell
DFT total energy = -5.60 eV/atom


No. 3
Material: DyErTlIr
Method: DFT, PBE
State: optimized geometry

Cell: 3.4486 3.4486 8.0349 Å, 90.00 90.00 90.00°
Space group P4mm (No. 99)
Asymmetric unit:
Dy 0.0000 0.0000 0.0000
Er 0.0000 0.0000 0.5898
Tl 0.5000 0.5000 0.2971
Ir 0.5000 0.5000 0.7915

Theoretical density = 12.6 g/cm³
Crystal system = tetragonal
DFT formation energy = -625.4 meV/atom
Fermi-level density of states = 3.1 states/eV/cell
DFT total energy = -5.72 eV/atom


No. 4
Material: K3Dy2ErO6
Method: DFT, PBE
State: optimized geometry

Cell: 6.0124 10.4137 6.5727 Å, 90.00 107.76 90.00°
Space group C2/m (No. 12)
Asymmetric unit:
K 0.0000 0.0000 0.0000
K 0.0000 0.3336 0.0000
Dy 0.0000 0.1667 0.5000
Er 0.0000 0.5000 0.5000
O 0.2270 0.3346 0.6848
O 0.2308 0.0000 0.6847

Theoretical density = 6.0 g/cm³
Crystal system = monoclinic
Uncorrected formation energy = -2.777 eV/atom
Fermi-level density of states = 0.0 states/eV/cell
DFT total energy = -6.68 eV/atom